(1)
Below is crystalline KHgSe2 at its relaxed geometry, with properties calculated at the PBE level.

Geometry as CIF:
```
data_KHgSe2
_chemical_formula_sum 'K1 Hg1 Se2'
_symmetry_space_group_name_H-M 'P 1'
_symmetry_Int_Tables_number 1
_symmetry_space_group_name_Hall 'P 1'
_cell_length_a 5.9252
_cell_length_b 5.9252
_cell_length_c 3.0360
_cell_angle_alpha 99.32
_cell_angle_beta 99.32
_cell_angle_gamma 87.97
loop_
_atom_site_label
_atom_site_type_symbol
_atom_site_fract_x
_atom_site_fract_y
_atom_site_fract_z
K1 K 0.0000 0.0000 0.0000
Hg1 Hg 0.5000 0.5000 0.0000
Se1 Se 0.0000 0.5000 0.5000
Se2 Se 0.5000 0.0000 0.5000
```

(2)
Below is crystalline KHg2Se at its relaxed geometry, with properties calculated at the PBE level.

Geometry as CIF:
```
data_KHg2Se
_chemical_formula_sum 'K1 Hg2 Se1'
_symmetry_space_group_name_H-M 'P 1'
_symmetry_Int_Tables_number 1
_symmetry_space_group_name_Hall 'P 1'
_cell_length_a 5.4717
_cell_length_b 5.4717
_cell_length_c 5.4717
_cell_angle_alpha 60.00
_cell_angle_beta 60.00
_cell_angle_gamma 60.00
loop_
_atom_site_label
_atom_site_type_symbol
_atom_site_fract_x
_atom_site_fract_y
_atom_site_fract_z
K1 K 0.0000 0.0000 0.0000
Hg1 Hg 0.2500 0.2500 0.2500
Hg2 Hg 0.7500 0.7500 0.7500
Se1 Se 0.5000 0.5000 0.5000
```

(3)
Below is crystalline KHgSe2 at its relaxed geometry, with properties calculated at the PBE level.

Geometry as CIF:
```
data_KHgSe2
_chemical_formula_sum 'K1 Hg1 Se2'
_symmetry_space_group_name_H-M 'P 1'
_symmetry_Int_Tables_number 1
_symmetry_space_group_name_Hall 'P 1'
_cell_length_a 9.4487
_cell_length_b 9.4487
_cell_length_c 9.4487
_cell_angle_alpha 25.35
_cell_angle_beta 25.35
_cell_angle_gamma 25.35
loop_
_atom_site_label
_atom_site_type_symbol
_atom_site_fract_x
_atom_site_fract_y
_atom_site_fract_z
K1 K 0.0000 0.0000 0.0000
Hg1 Hg 0.5000 0.5000 0.5000
Se1 Se 0.1115 0.1115 0.1115
Se2 Se 0.8885 0.8885 0.8885
```

(4)
Below is crystalline K2HgSe at its relaxed geometry, with properties calculated at the PBE level.

Geometry as CIF:
```
data_K2HgSe
_chemical_formula_sum 'K4 Hg2 Se2'
_symmetry_space_group_name_H-M 'P 1'
_symmetry_Int_Tables_number 1
_symmetry_space_group_name_Hall 'P 1'
_cell_length_a 10.4959
_cell_length_b 10.4959
_cell_length_c 10.4959
_cell_angle_alpha 143.18
_cell_angle_beta 143.18
_cell_angle_gamma 53.06
loop_
_atom_site_label
_atom_site_type_symbol
_atom_site_fract_x
_atom_site_fract_y
_atom_site_fract_z
K1 K 0.0532 0.6250 0.9282
K2 K 0.3750 0.3032 0.4282
K3 K 0.6968 0.1250 0.0718
K4 K 0.8750 0.9468 0.5718
Hg1 Hg 0.2500 0.7500 0.5000
Hg2 Hg 0.5000 0.5000 0.0000
Se1 Se 0.0000 0.0000 0.0000
Se2 Se 0.7500 0.2500 0.5000
```

(5)
Below is crystalline KHgSe2 at its relaxed geometry, with properties calculated at the PBE level.

Geometry as CIF:
```
data_KHgSe2
_chemical_formula_sum 'K1 Hg1 Se2'
_symmetry_space_group_name_H-M 'P 1'
_symmetry_Int_Tables_number 1
_symmetry_space_group_name_Hall 'P 1'
_cell_length_a 5.3228
_cell_length_b 5.3228
_cell_length_c 5.3228
_cell_angle_alpha 60.00
_cell_angle_beta 60.00
_cell_angle_gamma 60.00
loop_
_atom_site_label
_atom_site_type_symbol
_atom_site_fract_x
_atom_site_fract_y
_atom_site_fract_z
K1 K 0.0000 0.0000 0.0000
Hg1 Hg 0.7500 0.7500 0.7500
Se1 Se 0.2500 0.2500 0.2500
Se2 Se 0.5000 0.5000 0.5000
```

(6)
Below is crystalline K4Hg2Se at its relaxed geometry, with properties calculated at the PBE level.

Geometry as CIF:
```
data_K4Hg2Se
_chemical_formula_sum 'K4 Hg2 Se1'
_symmetry_space_group_name_H-M 'P 1'
_symmetry_Int_Tables_number 1
_symmetry_space_group_name_Hall 'P 1'
_cell_length_a 9.5706
_cell_length_b 9.5706
_cell_length_c 9.5706
_cell_angle_alpha 141.02
_cell_angle_beta 141.02
_cell_angle_gamma 56.30
loop_
_atom_site_label
_atom_site_type_symbol
_atom_site_fract_x
_atom_site_fract_y
_atom_site_fract_z
K1 K 0.0000 0.5000 0.5000
K2 K 0.1859 0.1859 0.0000
K3 K 0.5000 0.0000 0.5000
K4 K 0.8141 0.8141 0.0000
Hg1 Hg 0.4010 0.4010 0.0000
Hg2 Hg 0.5990 0.5990 0.0000
Se1 Se 0.0000 0.0000 0.0000
```

It is found that the E_form (uncorrected) values, taken in the order of the records, are -1.049 -1.086 -0.508 -2.236 -0.222 -3.305 eV per formula unit.